Entry 1:
Compound: SmSi3Ni5
Source: Alexandria
Functional: PBE
Structure: relaxed

Total magnetic moment (μB/f.u.): 0.00
Total DFT energy (no corrections) (eV/atom): -6.227
Uncorrected formation energy (meV/atom): -683

Lattice parameters (Å, degrees): 6.137 6.137 11.597 90.00 90.00 145.04
Sites, in units of the cell vectors:
1 Sm 0.161 0.839 0.750
2 Sm 0.839 0.161 0.250
3 Si 0.113 0.887 0.250
4 Si 0.383 0.617 0.039
5 Si 0.383 0.617 0.461
6 Si 0.617 0.383 0.539
7 Si 0.617 0.383 0.961
8 Si 0.887 0.113 0.750
9 Ni 0.000 0.000 0.000
10 Ni 0.000 0.000 0.500
11 Ni 0.197 0.803 0.067
12 Ni 0.197 0.803 0.433
13 Ni 0.449 0.551 0.646
14 Ni 0.449 0.551 0.854
15 Ni 0.551 0.449 0.146
16 Ni 0.551 0.449 0.354
17 Ni 0.803 0.197 0.567
18 Ni 0.803 0.197 0.933

=====

Entry 2:
Compound: Na2CoSn2
Source: Alexandria
Functional: PBE
Structure: relaxed

Energy relative to the elements (meV/atom): 56
Total magnetic moment (μB/f.u.): 0.32
Total DFT energy (no corrections) (eV/atom): -3.494

Lattice parameters (Å, degrees): 6.741 6.741 5.361 90.00 90.00 90.00
Sites, in units of the cell vectors:
1 Na 0.171 0.329 0.000
2 Na 0.329 0.829 0.000
3 Na 0.671 0.171 0.000
4 Na 0.829 0.671 0.000
5 Co 0.000 0.000 0.500
6 Co 0.500 0.500 0.500
7 Sn 0.164 0.664 0.500
8 Sn 0.336 0.164 0.500
9 Sn 0.664 0.836 0.500
10 Sn 0.836 0.336 0.500

=====

Entry 3:
Compound: Ta6TiSn
Source: Alexandria
Functional: PBE
Structure: relaxed

Energy relative to the elements (meV/atom): -30
Total magnetic moment (μB/f.u.): 0.00
Total DFT energy (no corrections) (eV/atom): -10.407

Lattice parameters (Å, degrees): 3.420 6.577 6.577 90.20 90.00 90.00
Sites, in units of the cell vectors:
1 Ta 0.000 0.000 0.000
2 Ta 0.000 0.002 0.484
3 Ta 0.000 0.484 0.002
4 Ta 0.500 0.242 0.743
5 Ta 0.500 0.245 0.245
6 Ta 0.500 0.743 0.242
7 Ti 0.000 0.482 0.482
8 Sn 0.500 0.738 0.738

=====

Entry 4:
Compound: SnGeRhN2
Source: Alexandria
Functional: PBE
Structure: relaxed

Total magnetic moment (μB/f.u.): 0.00
Total DFT energy (no corrections) (eV/atom): -5.533
Uncorrected formation energy (meV/atom): 991

Lattice parameters (Å, degrees): 3.894 3.894 5.389 90.00 90.00 90.00
Sites, in units of the cell vectors:
1 Sn 0.000 0.000 0.000
2 Ge 0.500 0.500 0.000
3 Rh 0.500 0.500 0.500
4 N 0.000 0.500 0.500
5 N 0.500 0.000 0.500